## Nb4CdC2S (PBE)

Data for a geometry-optimized Nb4CdC2S structure.

Space-group type   P-6m2
ρ   7.47 Mg/m³
E_tot   -68.322 eV/f.u.

Unit cell a=3.2511 b=3.2511 c=13.1238 alpha=90.00 beta=90.00 gamma=120.00
With the nearest neighbours (Å) after each atom.
Element x y z (fractional)
Nb: 0.0000 0.0000 0.1364  3 C 2.24
Nb: 0.0000 0.0000 0.8636  3 C 2.24
Nb: 0.6667 0.3333 0.3124  3 C 2.17
Nb: 0.6667 0.3333 0.6876  3 C 2.17
Cd: 0.0000 0.0000 0.5000  6 Nb 3.10, 6 Cd 3.25
C: 0.3333 0.6667 0.2297  6 Nb 2.17-2.24
C: 0.3333 0.6667 0.7703  6 Nb 2.17-2.24
S: 0.6667 0.3333 0.0000  6 Nb 2.59

***

## Nb4CdC2S (PBE)

Data for a geometry-optimized Nb4CdC2S structure.

Space-group type   P-6m2
ρ   7.47 Mg/m³
E_tot   -68.322 eV/f.u.

Unit cell a=3.2511 b=3.2511 c=13.1237 alpha=90.00 beta=90.00 gamma=120.00
With the nearest neighbours (Å) after each atom.
Element x y z (fractional)
Nb: 0.0000 0.0000 0.1364  3 C 2.24
Nb: 0.0000 0.0000 0.8636  3 C 2.24
Nb: 0.3333 0.6667 0.3124  3 C 2.17
Nb: 0.3333 0.6667 0.6876  3 C 2.17
Cd: 0.0000 0.0000 0.5000  6 Nb 3.10, 6 Cd 3.25
C: 0.6667 0.3333 0.2297  6 Nb 2.17-2.24
C: 0.6667 0.3333 0.7703  6 Nb 2.17-2.24
S: 0.3333 0.6667 0.0000  6 Nb 2.59

***

## Sc2Nb4Cd3C3 (PBE)

Data for a geometry-optimized Sc2Nb4Cd3C3 structure.

Space-group type   C2/c
ρ   6.89 Mg/m³
E_tot   -88.338 eV/f.u.

Unit cell a=5.6364 b=5.6364 c=15.0090 alpha=101.07 beta=101.07 gamma=60.00
With the nearest neighbours (Å) after each atom.
Element x y z (fractional)
Sc: 0.0319 0.8740 0.5931  3 C 2.32-2.36
Sc: 0.1260 0.9681 0.9069  3 C 2.32-2.36
Sc: 0.8740 0.0319 0.0931  3 C 2.32-2.36
Sc: 0.9681 0.1260 0.4069  3 C 2.32-2.36
Nb: 0.1919 0.3507 0.0754  3 C 2.16-2.20
Nb: 0.2993 0.4832 0.4247  3 C 2.16-2.20
Nb: 0.3507 0.1919 0.5754  3 C 2.16-2.20
Nb: 0.4832 0.2993 0.9247  3 C 2.16-2.20
Nb: 0.5168 0.7007 0.0753  3 C 2.16-2.20
Nb: 0.6493 0.8081 0.4246  3 C 2.16-2.20
Nb: 0.7007 0.5168 0.5753  3 C 2.16-2.20
Nb: 0.8081 0.6493 0.9246  3 C 2.16-2.20
Cd: 0.0852 0.3320 0.7518  4 Cd 2.93-2.94, 4 Nb 3.06-3.07, 1 Sc 3.25
Cd: 0.3320 0.0852 0.2518  4 Cd 2.93-2.94, 4 Nb 3.06-3.07, 1 Sc 3.25
Cd: 0.4988 0.5012 0.2500  4 Cd 2.93-2.94, 4 Nb 3.07-3.08
Cd: 0.5012 0.4988 0.7500  4 Cd 2.93-2.94, 4 Nb 3.07-3.08
Cd: 0.6680 0.9148 0.7482  4 Cd 2.93-2.94, 4 Nb 3.06-3.07, 1 Sc 3.25
Cd: 0.9148 0.6680 0.2482  4 Cd 2.93-2.94, 4 Nb 3.06-3.07, 1 Sc 3.25
C: 0.0000 0.5000 0.5000  4 Nb 2.16, 2 Sc 2.36
C: 0.1695 0.6608 0.0000  4 Nb 2.16-2.20, 2 Sc 2.32
C: 0.3392 0.8305 0.5000  4 Nb 2.16-2.20, 2 Sc 2.32
C: 0.5000 0.0000 0.0000  4 Nb 2.16, 2 Sc 2.36
C: 0.6608 0.1695 0.5000  4 Nb 2.16-2.20, 2 Sc 2.32
C: 0.8305 0.3392 0.0000  4 Nb 2.16-2.20, 2 Sc 2.32

***

> Look up the ρ of the second one.

7.47 Mg/m³